Record 1
Compound: HoSiAu3
Source: the Alexandria database
Functional: GGA-PBE
Structure: optimized geometry

Formation energy (no corrections) in meV/atom: -527
Space-group type: Pnma, No. 62
DOS at the Fermi energy in states/eV per atom: 0.33

Cell and atoms, written as POSCAR:
```
HoSiAu3
1.0
4.7291 0.0000 0.0000
0.0000 9.0859 0.0000
0.0000 0.0000 8.9942
Au Ho Si
12 4 4
Cartesian
1.1823 8.2149 7.5288 Au
3.5468 0.8710 1.4653 Au
3.5468 8.4258 5.2450 Au
3.5468 5.4140 3.0318 Au
1.1823 3.6719 5.9624 Au
1.1823 5.2031 0.7479 Au
3.5468 1.0334 7.4849 Au
1.1823 8.0526 1.5093 Au
3.5468 5.5763 6.0063 Au
1.1823 0.6602 3.7492 Au
1.1823 3.5096 2.9878 Au
3.5468 3.8828 8.2463 Au
1.1823 2.0815 0.0809 Ho
1.1823 6.6245 4.4162 Ho
3.5468 2.4615 4.5780 Ho
3.5468 7.0044 8.9133 Ho
1.1823 5.7123 7.3488 Si
3.5468 3.3736 1.6454 Si
3.5468 7.9166 2.8517 Si
1.1823 1.1693 6.1425 Si
```

***

Record 2
Compound: AcHoP2Rh2
Source: the Alexandria database
Functional: GGA-PBE
Structure: optimized geometry

Formation enthalpy at 0 K in eV per atom: -1.192
Space-group type: P-3m1, No. 164
DOS at the Fermi energy in states/eV per atom: 0.71

Cell and atoms, written as POSCAR:
```
AcHoP2Rh2
1.0
-1.4276 3.8191 0.5070
0.8931 -2.3112 3.2774
7.7665 2.9116 -0.0631
Rh Ac P Ho
2 1 2 1
Cartesian
5.8569 1.8831 2.3073 Rh
1.3751 2.5364 1.4139 Rh
0.0000 0.0000 0.0000 Ac
4.9379 3.8721 1.3850 P
2.2940 0.5474 2.3362 P
3.8832 1.4558 -0.0316 Ho
```

***

Record 3
Compound: MgIn3Hg
Source: the Alexandria database
Functional: GGA-PBE
Structure: optimized geometry

Energy relative to the lowest polymorph listed for this composition in meV per atom: 348.8
Formation enthalpy at 0 K in eV per atom: 0.313
Space-group type: Pm-3m, No. 221
DOS at the Fermi energy in states/eV per atom: 0.52

Cell and atoms, written as POSCAR:
```
MgIn3Hg
1.0
-1.3230 4.8059 -2.3359
1.5525 -1.9570 -4.9055
-5.1130 -1.8377 -0.8850
Mg In Hg
1 3 1
Cartesian
0.0000 0.0000 0.0000 Mg
-0.6615 2.4029 -1.1680 In
-2.5565 -0.9188 -0.4425 In
0.7762 -0.9785 -2.4527 In
-2.4418 0.5056 -4.0632 Hg
```

***

Record 4
Compound: Pr6Y7
Source: the Alexandria database
Functional: GGA-PBE
Structure: optimized geometry

Formation enthalpy at 0 K in eV per atom: 0.260
Space-group type: R-3m, No. 166
DOS at the Fermi energy in states/eV per atom: 2.32

Cell and atoms, written as POSCAR:
```
Pr6Y7
1.0
6.7838 0.0000 0.0000
3.3919 5.8750 0.0000
3.3919 1.9583 11.7132
Pr Y
6 7
Cartesian
6.7838 3.9166 7.5457 Pr
6.7838 3.9166 0.5410 Pr
6.7838 3.9166 11.1722 Pr
3.3919 1.9583 5.8623 Pr
10.1758 5.8750 5.8508 Pr
6.7838 3.9166 4.1675 Pr
3.3919 3.9014 2.8022 Y
1.7092 0.9868 2.8022 Y
8.4930 6.8465 8.9110 Y
11.8585 6.8465 8.9110 Y
0.0000 0.0000 0.0000 Y
5.0747 0.9868 2.8022 Y
10.1757 3.9319 8.9110 Y
```

***

Repeat the first record exactly.
Compound: HoSiAu3
Source: the Alexandria database
Functional: GGA-PBE
Structure: optimized geometry

Formation energy (no corrections) in meV/atom: -527
Space-group type: Pnma, No. 62
DOS at the Fermi energy in states/eV per atom: 0.33

Cell and atoms, written as POSCAR:
```
HoSiAu3
1.0
4.7291 0.0000 0.0000
0.0000 9.0859 0.0000
0.0000 0.0000 8.9942
Au Ho Si
12 4 4
Cartesian
1.1823 8.2149 7.5288 Au
3.5468 0.8710 1.4653 Au
3.5468 8.4258 5.2450 Au
3.5468 5.4140 3.0318 Au
1.1823 3.6719 5.9624 Au
1.1823 5.2031 0.7479 Au
3.5468 1.0334 7.4849 Au
1.1823 8.0526 1.5093 Au
3.5468 5.5763 6.0063 Au
1.1823 0.6602 3.7492 Au
1.1823 3.5096 2.9878 Au
3.5468 3.8828 8.2463 Au
1.1823 2.0815 0.0809 Ho
1.1823 6.6245 4.4162 Ho
3.5468 2.4615 4.5780 Ho
3.5468 7.0044 8.9133 Ho
1.1823 5.7123 7.3488 Si
3.5468 3.3736 1.6454 Si
3.5468 7.9166 2.8517 Si
1.1823 1.1693 6.1425 Si
```

***

Q: Which of these has the lowest DOS at the Fermi energy?
A: HoSiAu3